Entry 1:
Below is a relaxed TbEuRuAu crystal, with properties calculated at the PBE-GGA level.

Computed properties:
V ... 89.6 Å³ per cell
Size of the total moment ... 1.680 μB per atom
Total DFT energy (no corrections) ... -7.2169 eV per atom
ΔH_f (0 K) ... -34.0 kJ per mole of atoms
Space-group type ... No. 216

a b c (Å): 5.0228 5.0228 5.0228
angles (deg): 60.00 60.00 60.00
Last column: nearest neighbours and their distance in Å.
Fractional positions:
Tb 0.0000 0.0000 0.0000  4 Ru 3.08, 4 Au 3.08
Eu 0.5000 0.5000 0.5000  4 Ru 3.08, 4 Au 3.08
Ru 0.7500 0.7500 0.7500  4 Tb 3.08, 4 Eu 3.08
Au 0.2500 0.2500 0.2500  4 Tb 3.08, 4 Eu 3.08


Entry 2:
Below is a relaxed LaTa2Mn crystal, with properties calculated at the PBE-GGA level.

Computed properties:
V ... 85.6 Å³ per cell
Size of the total moment ... 0.000 μB per atom
Total DFT energy (no corrections) ... -9.0242 eV per atom
ΔH_f (0 K) ... 41.1 kJ per mole of atoms
Space-group type ... No. 25

a b c (Å): 3.2846 3.8250 6.8093
angles (deg): 90.00 90.00 90.00
Last column: nearest neighbours and their distance in Å.
Fractional positions:
La 0.0000 0.0000 0.0000  6 Ta 3.21-3.59, 2 La 3.28, 4 Mn 3.41
Ta 0.0000 0.0000 0.4721  4 Mn 2.68, 4 Ta 2.87
Ta 0.5000 0.5000 0.6731  1 Mn 2.28
Mn 0.5000 0.5000 0.3378  1 Ta 2.28


Entry 3:
Below is a relaxed LiAgAu3 crystal, with properties calculated at the PBE-GGA level.

Computed properties:
V ... 172.6 Å³ per cell
Size of the total moment ... 0.000 μB per atom
Total DFT energy (no corrections) ... -3.1750 eV per atom
ΔH_f (0 K) ... -24.7 kJ per mole of atoms
Space-group type ... No. 2

a b c (Å): 4.9776 5.0373 7.6406
angles (deg): 71.78 71.87 81.01
Last column: nearest neighbours and their distance in Å.
Fractional positions:
Li 0.2378 0.0557 0.1531  9 Au 2.83-2.95, 2 Ag 2.86-2.95, 1 Li 3.03
Li 0.7622 0.9443 0.8469  9 Au 2.83-2.95, 2 Ag 2.86-2.95, 1 Li 3.03
Ag 0.2511 0.4503 0.3495  2 Li 2.86-2.95, 9 Au 2.88-2.98, 1 Ag 2.92
Ag 0.7489 0.5497 0.6505  2 Li 2.86-2.95, 9 Au 2.88-2.98, 1 Ag 2.92
Au 0.2470 0.8534 0.5500  2 Li 2.84-2.89, 6 Au 2.85-2.99, 4 Ag 2.89-2.92
Au 0.2504 0.2438 0.7603  3 Li 2.83-2.90, 6 Au 2.85-2.99, 3 Ag 2.89-2.98
Au 0.2546 0.6598 0.9523  6 Au 2.85-2.99, 4 Li 2.85-2.95, 2 Ag 2.88-2.92
Au 0.7454 0.3402 0.0477  6 Au 2.85-2.99, 4 Li 2.85-2.95, 2 Ag 2.88-2.92
Au 0.7496 0.7562 0.2397  3 Li 2.83-2.90, 6 Au 2.85-2.99, 3 Ag 2.89-2.98
Au 0.7530 0.1466 0.4500  2 Li 2.84-2.89, 6 Au 2.85-2.99, 4 Ag 2.89-2.92


Entry 4:
Below is a relaxed LiPaGaBr6 crystal, with properties calculated at the PBE-GGA level.

Computed properties:
V ... 616.3 Å³ per cell
Size of the total moment ... 0.112 μB per atom
Total DFT energy (no corrections) ... -3.9982 eV per atom
E_form (uncorrected) ... -1278.9 meV per atom
Space-group type ... No. 163

a b c (Å): 7.1748 7.1748 13.8233
angles (deg): 90.00 90.00 120.00
Last column: nearest neighbours and their distance in Å.
Fractional positions:
Li 0.3333 0.6667 0.2500  6 Br 2.80
Li 0.6667 0.3333 0.7500  6 Br 2.80
Pa 0.3333 0.6667 0.7500  6 Br 2.82
Pa 0.6667 0.3333 0.2500  6 Br 2.82
Ga 0.0000 0.0000 0.0000  6 Br 3.17
Ga 0.0000 0.0000 0.5000  6 Br 3.17
Br 0.0022 0.3590 0.1343  1 Li 2.80, 1 Pa 2.82
Br 0.0022 0.6432 0.3657  1 Li 2.80, 1 Pa 2.82
Br 0.3568 0.3590 0.3657  1 Li 2.80, 1 Pa 2.82
Br 0.3568 0.9978 0.1343  1 Li 2.80, 1 Pa 2.82
Br 0.3590 0.0022 0.6343  1 Li 2.80, 1 Pa 2.82
Br 0.3590 0.3568 0.8657  1 Li 2.80, 1 Pa 2.82
Br 0.6410 0.6432 0.1343  1 Li 2.80, 1 Pa 2.82
Br 0.6410 0.9978 0.3657  1 Li 2.80, 1 Pa 2.82
Br 0.6432 0.0022 0.8657  1 Li 2.80, 1 Pa 2.82
Br 0.6432 0.6410 0.6343  1 Li 2.80, 1 Pa 2.82
Br 0.9978 0.3568 0.6343  1 Li 2.80, 1 Pa 2.82
Br 0.9978 0.6410 0.8657  1 Li 2.80, 1 Pa 2.82


Entry 5:
Below is a relaxed Ba3In2S2O4 crystal, with properties calculated at the PBE-GGA level.

Computed properties:
V ... 229.6 Å³ per cell
Size of the total moment ... 0.000 μB per atom
Total DFT energy (no corrections) ... -5.4616 eV per atom
E_form (uncorrected) ... -1885.8 meV per atom
Space-group type ... No. 139

a b c (Å): 12.4077 12.4077 12.4077
angles (deg): 159.71 159.71 28.85
Last column: nearest neighbours and their distance in Å.
Fractional positions:
Ba 0.0000 0.0000 0.0000  8 O 2.84
Ba 0.1668 0.1668 0.0000  4 O 3.10, 5 S 3.17-3.31
Ba 0.8332 0.8332 0.0000  4 O 3.10, 5 S 3.17-3.31
In 0.4084 0.4084 0.0000  4 O 2.22
In 0.5916 0.5916 0.0000  4 O 2.22
S 0.3045 0.3045 0.0000  1 In 2.50
S 0.6955 0.6955 0.0000  1 In 2.50
O 0.0755 0.5755 0.5000  2 In 2.22
O 0.4245 0.9245 0.5000  2 In 2.22
O 0.5755 0.0755 0.5000  2 In 2.22
O 0.9245 0.4245 0.5000  2 In 2.22


Entry 6:
Below is a relaxed OsPtPb2 crystal, with properties calculated at the PBE-GGA level.

Computed properties:
V ... 80.6 Å³ per cell
Size of the total moment ... 0.000 μB per atom
Total DFT energy (no corrections) ... -5.4728 eV per atom
ΔH_f (0 K) ... 67.4 kJ per mole of atoms
Space-group type ... No. 119

a b c (Å): 5.6939 5.6939 5.6939
angles (deg): 138.38 138.38 60.33
Last column: nearest neighbours and their distance in Å.
Fractional positions:
Os 0.0000 0.0000 0.0000  8 Pb 2.86-3.19, 4 Pt 3.19
Pt 0.7500 0.2500 0.5000  8 Pb 2.86-3.19, 4 Os 3.19
Pb 0.2500 0.7500 0.5000  4 Pt 2.86, 4 Pb 3.19, 4 Os 3.19
Pb 0.5000 0.5000 0.0000  4 Os 2.86, 4 Pb 3.19, 4 Pt 3.19


Entry 7:
Below is a relaxed BeOs crystal, with properties calculated at the PBE-GGA level.

Computed properties:
V ... 23.7 Å³ per cell
Size of the total moment ... 0.000 μB per atom
Total DFT energy (no corrections) ... -7.4177 eV per atom
ΔH_f (0 K) ... 5.8 kJ per mole of atoms
Space-group type ... No. 166

a b c (Å): 4.0488 4.0488 4.0488
angles (deg): 39.02 39.02 39.02
Last column: nearest neighbours and their distance in Å.
Fractional positions:
Be 0.0000 0.0000 0.0000  6 Os 2.43, 6 Be 2.70
Os 0.5000 0.5000 0.5000  6 Be 2.43, 6 Os 2.70


Entry 8:
Below is a relaxed Li2GaCu8 crystal, with properties calculated at the PBE-GGA level.

Computed properties:
V ... 139.3 Å³ per cell
Size of the total moment ... 0.000 μB per atom
Total DFT energy (no corrections) ... -3.5855 eV per atom
ΔH_f (0 K) ... 1.6 kJ per mole of atoms
Space-group type ... No. 71

a b c (Å): 6.5191 6.5191 6.5191
angles (deg): 143.21 121.25 71.36
Last column: nearest neighbours and their distance in Å.
Fractional positions:
Li 0.2123 0.2123 0.0000  10 Cu 2.49-2.57
Li 0.7877 0.7877 0.0000  10 Cu 2.49-2.57
Ga 0.5000 0.5000 0.0000  8 Cu 2.46-2.60
Cu 0.0542 0.3589 0.6953  1 Ga 2.46, 3 Li 2.49-2.52, 4 Cu 2.50-2.54
Cu 0.1946 0.0000 0.1946  7 Cu 2.49-2.54, 2 Li 2.57
Cu 0.3364 0.6411 0.6953  1 Ga 2.46, 3 Li 2.49-2.52, 4 Cu 2.50-2.54
Cu 0.3498 0.8498 0.5000  4 Cu 2.52-2.54, 2 Li 2.52, 2 Ga 2.60
Cu 0.6502 0.1502 0.5000  4 Cu 2.52-2.54, 2 Li 2.52, 2 Ga 2.60
Cu 0.6636 0.3589 0.3047  1 Ga 2.46, 3 Li 2.49-2.52, 4 Cu 2.50-2.54
Cu 0.8054 0.0000 0.8054  7 Cu 2.49-2.54, 2 Li 2.57
Cu 0.9458 0.6411 0.3047  1 Ga 2.46, 3 Li 2.49-2.52, 4 Cu 2.50-2.54


Entry 9:
Below is a relaxed Sm4YPt2 crystal, with properties calculated at the PBE-GGA level.

Computed properties:
V ... 388.4 Å³ per cell
Size of the total moment ... 0.000 μB per atom
Total DFT energy (no corrections) ... -5.9778 eV per atom
ΔH_f (0 K) ... -61.0 kJ per mole of atoms
Space-group type ... No. 11

a b c (Å): 7.9107 6.4923 8.2303
angles (deg): 90.00 113.26 90.00
Last column: nearest neighbours and their distance in Å.
Fractional positions:
Sm 0.0137 0.2500 0.3842  2 Pt 2.78-2.95
Sm 0.2480 0.7500 0.3472  2 Pt 2.87-2.88
Sm 0.4113 0.0078 0.7709  4 Pt 3.13-3.28, 3 Sm 3.14-3.47
Sm 0.4113 0.4922 0.7709  4 Pt 3.13-3.28, 3 Sm 3.14-3.47
Sm 0.5887 0.5078 0.2291  4 Pt 3.13-3.28, 3 Sm 3.14-3.47
Sm 0.5887 0.9922 0.2291  4 Pt 3.13-3.28, 3 Sm 3.14-3.47
Sm 0.7520 0.2500 0.6528  2 Pt 2.87-2.88
Sm 0.9863 0.7500 0.6158  2 Pt 2.78-2.95
Y 0.1529 0.2500 0.0289  2 Pt 2.92-3.01
Y 0.8471 0.7500 0.9711  2 Pt 2.92-3.01
Pt 0.2355 0.7500 0.9928  6 Sm 2.88-3.17, 1 Y 3.01
Pt 0.3742 0.2500 0.4089  2 Sm 2.78-2.87, 1 Y 2.92
Pt 0.6258 0.7500 0.5911  2 Sm 2.78-2.87, 1 Y 2.92
Pt 0.7645 0.2500 0.0072  6 Sm 2.88-3.17, 1 Y 3.01


Entry 10:
Below is a relaxed La4CrRh crystal, with properties calculated at the PBE-GGA level.

Computed properties:
V ... 173.3 Å³ per cell
Size of the total moment ... 0.536 μB per atom
Total DFT energy (no corrections) ... -5.3590 eV per atom
ΔH_f (0 K) ... 72.9 kJ per mole of atoms
Space-group type ... No. 216

a b c (Å): 6.2581 6.2581 6.2581
angles (deg): 60.00 60.00 60.00
Last column: nearest neighbours and their distance in Å.
Fractional positions:
La 0.1242 0.1242 0.1242  6 La 3.11-3.15
La 0.1242 0.1242 0.6273  6 La 3.11-3.15
La 0.1242 0.6273 0.1242  6 La 3.11-3.15
La 0.6273 0.1242 0.1242  6 La 3.11-3.15
Cr 0.5000 0.5000 0.5000  12 La 3.67, 4 Rh 3.83
Rh 0.7500 0.7500 0.7500  12 La 3.67, 4 Cr 3.83


Entry 11:
Below is a relaxed Tb2CePm6Pr crystal, with properties calculated at the PBE-GGA level.

Computed properties:
V ... 344.9 Å³ per cell
Size of the total moment ... 0.132 μB per atom
Total DFT energy (no corrections) ... -4.6098 eV per atom
ΔH_f (0 K) ... 23.0 kJ per mole of atoms
Space-group type ... No. 12

a b c (Å): 6.6744 6.6744 8.9976
angles (deg): 101.77 101.77 62.37
Last column: nearest neighbours and their distance in Å.
Fractional positions:
Tb 0.0908 0.0908 0.1599  1 Tb 3.12, 2 Pm 3.22, 1 Pr 3.46
Tb 0.9092 0.9092 0.8401  1 Tb 3.12, 2 Pm 3.22, 1 Pr 3.46
Ce 0.5000 0.5000 0.0000  6 Pm 3.45-3.67, 4 Tb 3.79
Pm 0.0669 0.5910 0.1980  2 Tb 3.22-3.50, 2 Pm 3.29-3.59, 1 Pr 3.37, 1 Ce 3.45
Pm 0.3726 0.3726 0.5851  7 Pm 3.60-3.94, 1 Ce 3.67, 2 Pr 3.90
Pm 0.4090 0.9331 0.8020  2 Tb 3.22-3.50, 2 Pm 3.29-3.59, 1 Pr 3.37, 1 Ce 3.45
Pm 0.5910 0.0669 0.1980  2 Tb 3.22-3.50, 2 Pm 3.29-3.59, 1 Pr 3.37, 1 Ce 3.45
Pm 0.6274 0.6274 0.4149  7 Pm 3.60-3.94, 1 Ce 3.67, 2 Pr 3.90
Pm 0.9331 0.4090 0.8020  2 Tb 3.22-3.50, 2 Pm 3.29-3.59, 1 Pr 3.37, 1 Ce 3.45
Pr 0.0000 0.0000 0.5000  4 Pm 3.37, 2 Tb 3.46


Entry 12:
Below is a relaxed NaOsRuS2 crystal, with properties calculated at the PBE-GGA level.

Computed properties:
V ... 105.6 Å³ per cell
Size of the total moment ... 0.147 μB per atom
Total DFT energy (no corrections) ... -5.1683 eV per atom
E_form (uncorrected) ... 847.6 meV per atom
Space-group type ... No. 123

a b c (Å): 4.6903 4.6903 4.7980
angles (deg): 90.00 90.00 90.00
Last column: nearest neighbours and their distance in Å.
Fractional positions:
Na 0.0000 0.0000 0.0000  4 Os 3.32, 8 S 3.35
Os 0.5000 0.5000 0.0000  2 Ru 2.40
Ru 0.5000 0.5000 0.5000  4 S 2.35, 2 Os 2.40
S 0.0000 0.5000 0.5000  2 Ru 2.35
S 0.5000 0.0000 0.5000  2 Ru 2.35